Below is an optimized crystal structure of Tl2HgGeF6, with properties calculated at the GGA-PBE level.

Cell lengths 6.2189, 6.2189, 6.2189 Å; angles 60.00, 60.00, 60.00 degrees
Closest atoms and distances in Å follow each position.
Fractional positions:
F  0.7940  0.2060  0.2060  1 Ge 1.81
F  0.2060  0.7940  0.2060  1 Ge 1.81
F  0.7940  0.7940  0.2060  1 Ge 1.81
F  0.7940  0.2060  0.7940  1 Ge 1.81
F  0.2060  0.7940  0.7940  1 Ge 1.81
F  0.2060  0.2060  0.7940  1 Ge 1.81
Ge  0.0000  0.0000  0.0000  6 F 1.81
Hg  0.5000  0.5000  0.5000  6 F 2.59
Tl  0.2500  0.2500  0.2500  12 F 3.13
Tl  0.7500  0.7500  0.7500  12 F 3.13

**SG**: Fm-3m
**DFT total energy**: -3.954 eV/atom